A plane-wave DFT calculation with GGA+U was carried out for a relaxed Rb4Sm3CrO8 crystal.

Cell: 7.012 7.698 7.012 Å, 117.11 120.00 90.00°
Last column: magnetic moment on the atom in μB.
Element x y z (fractional)
1 Rb 0.500 0.000 0.000  0.00
2 Rb 0.500 0.000 0.500  0.00
3 Rb 0.000 0.000 0.000  0.00
4 Rb 0.000 0.000 0.500  0.00
5 Sm 0.500 0.500 0.000  0.00
6 Sm 0.500 0.500 0.500  0.00
7 Sm 0.000 0.500 0.500  0.00
8 Cr 0.000 0.500 0.000  3.05
9 O 0.213 0.673 0.960  -0.03
10 O 0.213 0.673 0.426  -0.03
11 O 0.273 0.319 0.546  0.00
12 O 0.747 0.673 0.960  -0.03
13 O 0.253 0.327 0.040  -0.03
14 O 0.727 0.681 0.454  0.00
15 O 0.787 0.327 0.574  -0.03
16 O 0.787 0.327 0.040  -0.03

Output
The calculation puts the total DFT energy (no corrections) at -102.05 eV/cell. As for the symmetry: R-3m, No. 166. Its size of the total moment is 0.185 μB/atom. The value obtained for the density of states at the Fermi level is 0.00 states/eV per cell.